# 1
# Mg5AlZn6

An optimized crystal structure of Mg5AlZn6 (PBE, Alexandria).

E (eV/atom): -1.668
Mass density (g/cm3): 4.2
V (Å³ per cell): 425.96
Formation enthalpy at 0 K (meV/atom): -54.8

Unit cell a=7.990 b=13.979 c=4.667 alpha=90.00 beta=125.20 gamma=90.00
Space group C2/m (No. 12)
Symmetry-distinct sites (fractional):
Mg1 0.000 0.000 0.000
Mg2 0.000 0.163 0.500
Mg3 0.000 0.326 0.000
Al1 0.000 0.500 0.500
Zn1 0.229 0.500 0.229
Zn2 0.238 0.338 0.738


# 2
# ZrCo2HOs

An optimized crystal structure of ZrCo2HOs (PBE, Alexandria).

E (eV/atom): -7.548
Mass density (g/cm3): 11.5
V (Å³ per cell): 57.95
E above lowest polymorph (meV/atom): 33

Unit cell a=3.783 b=3.783 c=4.050 alpha=90.00 beta=90.00 gamma=90.00
Space group P4/mmm (No. 123)
Symmetry-distinct sites (fractional):
Zr1 0.000 0.000 0.000
Co1 0.000 0.500 0.500
H1 0.000 0.000 0.500
Os1 0.500 0.500 0.000